Record 1
First-principles (PBE) data for a relaxed structure of CsNbSbI2, as listed in the Alexandria database.

For the density, the calculation gives 5.2 g/cm3. The formation energy from raw total energies is -335 meV/atom.

Structure (POSCAR):
```
CsNbSbI2
1.0
5.951 0.000 0.000
0.000 5.951 0.000
0.000 0.000 5.410
Cs Nb Sb I
1 1 1 2
direct
0.000 0.000 0.000
0.500 0.500 0.500
0.500 0.500 0.000
0.000 0.500 0.500
0.500 0.000 0.500
```



Record 2
First-principles (PBE) data for a relaxed structure of Cs2ScNbI6, as listed in the Alexandria database.

For the density, the calculation gives 4.8 g/cm3. The formation energy from raw total energies is -917 meV/atom.

Structure (POSCAR):
```
Cs2ScNbI6
1.0
0.000 5.882 5.882
5.882 0.000 5.882
5.882 5.882 0.000
Cs Sc Nb I
2 1 1 6
direct
0.250 0.250 0.250
0.750 0.750 0.750
0.000 0.000 0.000
0.500 0.500 0.500
0.252 0.252 0.748
0.252 0.748 0.252
0.252 0.748 0.748
0.748 0.252 0.252
0.748 0.252 0.748
0.748 0.748 0.252
```



Record 3
First-principles (PBE) data for a relaxed structure of Cs2NbSnI6, as listed in the Alexandria database.

For the density, the calculation gives 4.6 g/cm3. The formation energy from raw total energies is -775 meV/atom.

Structure (POSCAR):
```
Cs2NbSnI6
1.0
0.000 6.082 6.082
6.082 0.000 6.082
6.082 6.082 0.000
Cs Nb Sn I
2 1 1 6
direct
0.250 0.250 0.250
0.750 0.750 0.750
0.000 0.000 0.000
0.500 0.500 0.500
0.241 0.241 0.759
0.241 0.759 0.241
0.241 0.759 0.759
0.759 0.241 0.241
0.759 0.241 0.759
0.759 0.759 0.241
```



Record 4
First-principles (PBE) data for a relaxed structure of Cs2TaNbI6, as listed in the Alexandria database.

For the density, the calculation gives 5.3 g/cm3. The formation energy from raw total energies is -461 meV/atom.

Structure (POSCAR):
```
Cs2TaNbI6
1.0
-4.159 4.159 5.890
4.159 -4.159 5.890
4.159 4.159 -5.890
Cs Ta Nb I
2 1 1 6
direct
0.250 0.750 0.500
0.750 0.250 0.500
0.000 0.000 0.000
0.500 0.500 0.000
0.247 0.247 0.000
0.247 0.247 0.495
0.247 0.753 0.000
0.753 0.247 0.000
0.753 0.753 0.000
0.753 0.753 0.505
```



Record 5
First-principles (PBE) data for a relaxed structure of Cs2NbTeI6, as listed in the Alexandria database.

For the density, the calculation gives 4.1 g/cm3. The formation energy from raw total energies is -643 meV/atom.

Structure (POSCAR):
```
Cs2NbTeI6
1.0
-4.669 4.669 5.785
4.669 -4.669 5.785
4.669 4.669 -5.785
Cs Nb Te I
2 1 1 6
direct
0.250 0.750 0.500
0.750 0.250 0.500
0.000 0.000 0.000
0.500 0.500 0.000
0.215 0.215 0.430
0.215 0.785 0.000
0.246 0.246 0.000
0.754 0.754 0.000
0.785 0.215 0.000
0.785 0.785 0.570
```



Record 6
First-principles (PBE) data for a relaxed structure of CsNb2TeI, as listed in the Alexandria database.

For the density, the calculation gives 4.9 g/cm3. The formation energy from raw total energies is 1326 meV/atom.

Structure (POSCAR):
```
CsNb2TeI
1.0
5.344 0.000 0.000
0.000 5.344 0.000
0.000 0.000 6.810
Cs Nb Te I
1 2 1 1
direct
0.000 0.000 0.000
0.000 0.500 0.500
0.500 0.000 0.500
0.500 0.500 0.000
0.500 0.500 0.500
```



Record 7
First-principles (PBE) data for a relaxed structure of Cs2NbVI6, as listed in the Alexandria database.

For the density, the calculation gives 4.9 g/cm3. The formation energy from raw total energies is -686 meV/atom.

Structure (POSCAR):
```
Cs2NbVI6
1.0
0.000 5.848 5.848
5.848 0.000 5.848
5.848 5.848 0.000
Cs Nb V I
2 1 1 6
direct
0.250 0.250 0.250
0.750 0.750 0.750
0.000 0.000 0.000
0.500 0.500 0.500
0.252 0.252 0.748
0.252 0.748 0.252
0.252 0.748 0.748
0.748 0.252 0.252
0.748 0.252 0.748
0.748 0.748 0.252
```



Record 8
First-principles (PBE) data for a relaxed structure of Cs2NbWI6, as listed in the Alexandria database.

For the density, the calculation gives 5.3 g/cm3. The formation energy from raw total energies is -334 meV/atom.

Structure (POSCAR):
```
Cs2NbWI6
1.0
-4.154 4.154 5.892
4.154 -4.154 5.892
4.154 4.154 -5.892
Cs Nb W I
2 1 1 6
direct
0.250 0.750 0.500
0.750 0.250 0.500
0.000 0.000 0.000
0.500 0.500 0.000
0.254 0.254 0.000
0.254 0.254 0.509
0.254 0.746 0.000
0.746 0.254 0.000
0.746 0.746 0.000
0.746 0.746 0.491
```



Record 9
First-principles (PBE) data for a relaxed structure of Cs2ZrNbI6, as listed in the Alexandria database.

For the density, the calculation gives 4.9 g/cm3. The formation energy from raw total energies is -757 meV/atom.

Structure (POSCAR):
```
Cs2ZrNbI6
1.0
0.000 5.889 5.889
5.889 0.000 5.889
5.889 5.889 0.000
Cs Zr Nb I
2 1 1 6
direct
0.250 0.250 0.250
0.750 0.750 0.750
0.000 0.000 0.000
0.500 0.500 0.500
0.252 0.252 0.748
0.252 0.748 0.252
0.252 0.748 0.748
0.748 0.252 0.252
0.748 0.252 0.748
0.748 0.748 0.252
```



Record 10
First-principles (PBE) data for a relaxed structure of Cs5Nd2I12, as listed in the Alexandria database.

For the density, the calculation gives 4.0 g/cm3. The formation energy from raw total energies is -1361 meV/atom.

Structure (POSCAR):
```
Cs5Nd2I12
1.0
9.548 -5.590 0.000
9.548 5.590 0.000
-9.535 0.000 9.556
Cs Nd I
5 2 12
direct
0.000 0.000 0.000
0.251 0.251 0.503
0.254 0.254 0.000
0.746 0.746 0.000
0.749 0.749 0.497
0.250 0.750 0.500
0.750 0.250 0.500
0.082 0.452 0.266
0.138 0.138 0.637
0.184 0.814 0.265
0.186 0.816 0.735
0.452 0.082 0.266
0.499 0.499 0.638
0.501 0.501 0.362
0.548 0.918 0.734
0.814 0.184 0.265
0.816 0.186 0.735
0.862 0.862 0.363
0.918 0.548 0.734
```



Record 11
First-principles (PBE) data for a relaxed structure of Cs2Nd2I7, as listed in the Alexandria database.

For the density, the calculation gives 4.3 g/cm3. The formation energy from raw total energies is -1335 meV/atom.

Structure (POSCAR):
```
Cs2Nd2I7
1.0
6.897 -4.841 0.000
6.897 4.841 0.000
-1.097 0.000 8.354
Cs Nd I
2 2 7
direct
0.223 0.777 0.000
0.777 0.223 0.000
0.239 0.239 0.543
0.761 0.761 0.457
0.000 0.000 0.500
0.059 0.489 0.263
0.448 0.448 0.706
0.489 0.059 0.263
0.511 0.941 0.737
0.552 0.552 0.294
0.941 0.511 0.737
```



Record 12
First-principles (PBE) data for a relaxed structure of Cs2NdI6, as listed in the Alexandria database.

For the density, the calculation gives 4.1 g/cm3. The formation energy from raw total energies is -1218 meV/atom.

Structure (POSCAR):
```
Cs2NdI6
1.0
8.940 -4.689 0.000
8.940 4.689 0.000
-1.326 0.000 5.634
Cs Nd I
2 1 6
direct
0.166 0.166 0.145
0.834 0.834 0.855
0.500 0.500 0.500
0.139 0.574 0.371
0.304 0.696 0.000
0.426 0.861 0.629
0.574 0.139 0.371
0.696 0.304 0.000
0.861 0.426 0.629
```